## NpCdSbO6 (PBE-GGA)

Data for a geometry-optimized NpCdSbO6 structure.

The structure in CIF format:
```
data_NpCdSbO6
_symmetry_space_group_name_H-M 'P -3 1 c'
_symmetry_Int_Tables_number 163
_symmetry_space_group_name_Hall '-P 3 2c'
_cell_length_a 5.4762
_cell_length_b 5.4762
_cell_length_c 9.3215
_cell_angle_alpha 90.00
_cell_angle_beta 90.00
_cell_angle_gamma 120.00
loop_
_atom_site_label
_atom_site_fract_x
_atom_site_fract_y
_atom_site_fract_z
_atom_site_occupancy
Np1 0.3333 0.6667 0.2500 1
Cd1 0.3333 0.6667 0.7500 1
Sb1 0.0000 0.0000 0.0000 1
O1 0.0289 0.3265 0.1213 1
```

DOS at the Fermi energy (states/eV/cell): 7.9
M_tot (μB per atom): 0.22
ΔE_f (raw) (eV per formula unit): -16.401
E_tot (eV per cell): -128.26